# BaTl2MoO6 (PBE with a Hubbard U, optimized geometry)
data_BaTl2MoO6
_chemical_formula_sum 'Ba2 Tl4 Mo2 O12'
_symmetry_space_group_name_H-M 'P 1'
_symmetry_Int_Tables_number 1
_symmetry_space_group_name_Hall 'P 1'
_cell_length_a 8.057
_cell_length_b 8.057
_cell_length_c 7.823
_cell_angle_alpha 114.07
_cell_angle_beta 114.07
_cell_angle_gamma 78.31
loop_
_atom_site_label
_atom_site_fract_x
_atom_site_fract_y
_atom_site_fract_z
Ba1 0.202 0.798 0.750
Ba2 0.798 0.202 0.250
Tl1 0.326 0.338 0.841
Tl2 0.338 0.326 0.341
Tl3 0.662 0.674 0.659
Tl4 0.674 0.662 0.159
Mo1 0.166 0.834 0.250
Mo2 0.834 0.166 0.750
O1 0.046 0.163 0.722
O2 0.163 0.046 0.222
O3 0.186 0.656 0.025
O4 0.236 0.433 0.587
O5 0.344 0.814 0.475
O6 0.433 0.236 0.087
O7 0.567 0.764 0.913
O8 0.656 0.186 0.525
O9 0.764 0.567 0.413
O10 0.814 0.344 0.975
O11 0.837 0.954 0.778
O12 0.954 0.837 0.278
# Raw total energy, eV for the cell shown: -115.6